No. 1
Here is crystalline Rb3BeB at its relaxed geometry from the Alexandria database. Energies are from PBE.

a = 6.3122 Å, b = 6.3122 Å, c = 6.3122 Å
α = 90.00°, β = 90.00°, γ = 90.00°
Element x y z (fractional)
1 Rb 0.0000 0.0000 0.5000
2 Rb 0.0000 0.5000 0.0000
3 Rb 0.5000 0.0000 0.0000
4 Be 0.5000 0.5000 0.5000
5 B 0.0000 0.0000 0.0000

## Properties
energy relative to the lowest polymorph listed for this composition = 0.00 eV/f.u.
formation energy from the elements = 1.3095 eV/atom
Fermi-level density of states = 0.978 states/eV/atom
energy = -1.352 eV per atom
symmetry = Pm-3m, No. 221

=====

No. 2
Here is crystalline SrPtW at its relaxed geometry from the Alexandria database. Energies are from PBE.

a = 8.4434 Å, b = 8.4434 Å, c = 8.4434 Å
α = 31.26°, β = 31.26°, γ = 31.26°
Element x y z (fractional)
1 Sr 0.0000 0.0000 0.0000
2 Sr 0.4551 0.4551 0.4551
3 Pt 0.5818 0.5818 0.5818
4 Pt 0.7435 0.7435 0.7435
5 W 0.2280 0.2280 0.2280
6 W 0.8604 0.8604 0.8604

## Properties
energy relative to the lowest polymorph listed for this composition = 0.28 eV/f.u.
formation energy from the elements = 0.0674 eV/atom
Fermi-level density of states = 0.046 states/eV/atom
energy = -6.825 eV per atom
symmetry = R3m, No. 160

=====

No. 3
Here is crystalline PmSm2Er at its relaxed geometry from the Alexandria database. Energies are from PBE.

a = 4.2355 Å, b = 4.2355 Å, c = 7.4149 Å
α = 90.00°, β = 90.00°, γ = 90.00°
Element x y z (fractional)
1 Pm 0.0000 0.0000 0.0000
2 Sm 0.5000 0.5000 0.2559
3 Sm 0.5000 0.5000 0.7441
4 Er 0.0000 0.0000 0.5000

## Properties
energy relative to the lowest polymorph listed for this composition = 0.41 eV/f.u.
formation energy from the elements = 0.1184 eV/atom
Fermi-level density of states = 2.195 states/eV/atom
energy = -4.570 eV per atom
symmetry = P4/mmm, No. 123

=====

No. 4
Here is crystalline Li3CuPt2O6 at its relaxed geometry from the Alexandria database. Energies are from PBE.

a = 5.3879 Å, b = 5.3879 Å, c = 5.1641 Å
α = 100.59°, β = 100.59°, γ = 119.56°
Element x y z (fractional)
1 Li 0.0000 0.0000 0.0000
2 Li 0.3382 0.6618 0.0000
3 Li 0.6618 0.3382 0.0000
4 Cu 0.5000 0.5000 0.5000
5 Pt 0.1666 0.8334 0.5000
6 Pt 0.8334 0.1666 0.5000
7 O 0.0703 0.4212 0.2699
8 O 0.2203 0.2203 0.7436
9 O 0.4212 0.0703 0.2699
10 O 0.5788 0.9297 0.7301
11 O 0.7797 0.7797 0.2564
12 O 0.9297 0.5788 0.7301

## Properties
Fermi-level density of states = 0.357 states/eV/atom
raw formation energy = -97 kJ/mol of atoms
energy = -5.314 eV per atom
symmetry = C2/m, No. 12

=====

No. 5
Here is crystalline TaHg3Pd at its relaxed geometry from the Alexandria database. Energies are from PBE.

a = 5.3389 Å, b = 5.3389 Å, c = 5.3389 Å
α = 90.00°, β = 90.00°, γ = 90.00°
Element x y z (fractional)
1 Ta 0.0000 0.0000 0.0000
2 Hg 0.0000 0.0000 0.5000
3 Hg 0.0000 0.5000 0.0000
4 Hg 0.5000 0.0000 0.0000
5 Pd 0.5000 0.5000 0.5000

## Properties
energy relative to the lowest polymorph listed for this composition = 0.00 eV/f.u.
formation energy from the elements = 1.1552 eV/atom
Fermi-level density of states = 0.919 states/eV/atom
energy = -2.435 eV per atom
symmetry = Pm-3m, No. 221

=====

No. 6
Here is crystalline KY2Cu at its relaxed geometry from the Alexandria database. Energies are from PBE.

a = 6.7308 Å, b = 6.7308 Å, c = 3.4634 Å
α = 102.94°, β = 102.94°, γ = 120.22°
Element x y z (fractional)
1 K 0.0000 0.0000 0.0000
2 Y 0.0000 0.5000 0.5000
3 Y 0.5000 0.0000 0.5000
4 Cu 0.5000 0.5000 0.0000

## Properties
energy relative to the lowest polymorph listed for this composition = 1.81 eV/f.u.
formation energy from the elements = 0.5699 eV/atom
Fermi-level density of states = 0.988 states/eV/atom
energy = -3.961 eV per atom
symmetry = C2/m, No. 12

=====

No. 7
Here is crystalline BaLaMg2Rh at its relaxed geometry from the Alexandria database. Energies are from PBE.

a = 5.4005 Å, b = 5.4005 Å, c = 5.2925 Å
α = 90.00°, β = 90.00°, γ = 90.00°
Element x y z (fractional)
1 Ba 0.0000 0.0000 0.0000
2 La 0.5000 0.5000 0.0000
3 Mg 0.0000 0.5000 0.5000
4 Mg 0.5000 0.0000 0.5000
5 Rh 0.5000 0.5000 0.5000

## Properties
formation energy from the elements = -0.3293 eV/atom
Fermi-level density of states = 0.772 states/eV/atom
energy = -3.807 eV per atom
symmetry = P4/mmm, No. 123

=====

No. 8
Here is crystalline Rb3TlW at its relaxed geometry from the Alexandria database. Energies are from PBE.

a = 6.9968 Å, b = 6.9968 Å, c = 6.9968 Å
α = 90.00°, β = 90.00°, γ = 90.00°
Element x y z (fractional)
1 Rb 0.0000 0.0000 0.5000
2 Rb 0.0000 0.5000 0.0000
3 Rb 0.5000 0.0000 0.0000
4 Tl 0.5000 0.5000 0.5000
5 W 0.0000 0.0000 0.0000

## Properties
energy relative to the lowest polymorph listed for this composition = 0.00 eV/f.u.
formation energy from the elements = 1.4270 eV/atom
Fermi-level density of states = 1.092 states/eV/atom
energy = -2.217 eV per atom
symmetry = Pm-3m, No. 221

=====

No. 9
Here is crystalline BeTlSnCl5 at its relaxed geometry from the Alexandria database. Energies are from PBE.

a = 7.4626 Å, b = 7.4626 Å, c = 9.9818 Å
α = 104.90°, β = 104.90°, γ = 105.51°
Element x y z (fractional)
1 Be 0.1887 0.8113 0.7500
2 Be 0.8113 0.1887 0.2500
3 Tl 0.1442 0.8558 0.2500
4 Tl 0.8558 0.1442 0.7500
5 Sn 0.5000 0.5000 0.0000
6 Sn 0.5000 0.5000 0.5000
7 Cl 0.0768 0.2520 0.4131
8 Cl 0.1703 0.6008 0.8484
9 Cl 0.2520 0.0768 0.9131
10 Cl 0.3992 0.8297 0.6516
11 Cl 0.4042 0.5958 0.2500
12 Cl 0.5958 0.4042 0.7500
13 Cl 0.6008 0.1703 0.3484
14 Cl 0.7480 0.9232 0.0869
15 Cl 0.8297 0.3992 0.1516
16 Cl 0.9232 0.7480 0.5869

## Properties
Fermi-level density of states = 0.000 states/eV/atom
raw formation energy = -111 kJ/mol of atoms
energy = -3.566 eV per atom
symmetry = C2/c, No. 15

=====

No. 10
Here is crystalline Y2HoTmTl2 at its relaxed geometry from the Alexandria database. Energies are from PBE.

a = 5.0553 Å, b = 9.9228 Å, c = 6.8485 Å
α = 90.00°, β = 90.00°, γ = 90.00°
Element x y z (fractional)
1 Y 0.0000 0.0451 0.0000
2 Y 0.0000 0.9549 0.5000
3 Y 0.5000 0.1896 0.2839
4 Y 0.5000 0.8104 0.7839
5 Ho 0.5000 0.4555 0.9037
6 Ho 0.5000 0.5445 0.4037
7 Tm 0.0000 0.3112 0.6198
8 Tm 0.0000 0.6888 0.1198
9 Tl 0.0000 0.3715 0.1619
10 Tl 0.0000 0.6285 0.6619
11 Tl 0.5000 0.1337 0.7441
12 Tl 0.5000 0.8663 0.2441

## Properties
formation energy from the elements = -0.2834 eV/atom
Fermi-level density of states = 1.059 states/eV/atom
energy = -4.735 eV per atom
symmetry = Pmc2_1, No. 26

=====

No. 11
Here is crystalline Cs2Mn2Cl7 at its relaxed geometry from the Alexandria database. Energies are from PBE.

a = 4.8072 Å, b = 9.0706 Å, c = 9.1186 Å
α = 115.84°, β = 90.23°, γ = 90.16°
Element x y z (fractional)
1 Cs 0.9995 0.2051 0.2945
2 Cs 0.0005 0.7949 0.7055
3 Mn 0.4962 0.7422 0.2428
4 Mn 0.5038 0.2578 0.7572
5 Cl 0.0038 0.2806 0.7800
6 Cl 0.4958 0.8516 0.0588
7 Cl 0.4965 0.5564 0.3506
8 Cl 0.5000 0.0000 0.5000
9 Cl 0.5035 0.4436 0.6494
10 Cl 0.5042 0.1484 0.9412
11 Cl 0.9962 0.7194 0.2200

## Properties
Fermi-level density of states = 0.059 states/eV/atom
raw formation energy = -133 kJ/mol of atoms
energy = -4.375 eV per atom
symmetry = P-1, No. 2

=====

No. 12
Here is crystalline OsPdF2 at its relaxed geometry from the Alexandria database. Energies are from PBE.

a = 8.5180 Å, b = 8.5180 Å, c = 8.5180 Å
α = 18.25°, β = 18.25°, γ = 18.25°
Element x y z (fractional)
1 Os 0.0000 0.0000 0.0000
2 Pd 0.5000 0.5000 0.5000
3 F 0.0773 0.0773 0.0773
4 F 0.9227 0.9227 0.9227

## Properties
energy relative to the lowest polymorph listed for this composition = 0.00 eV/f.u.
Fermi-level density of states = 0.979 states/eV/atom
raw formation energy = -52 kJ/mol of atoms
energy = -5.579 eV per atom
symmetry = R-3m, No. 166